Crystalline Pm4Se2S3 at its relaxed geometry, computed with PBE.

Properties
DOS at the Fermi energy, states/eV per cell: 4.13
Symmetry: C2/m (12)
Spin magnetization, μB per formula unit: 0.00
E, eV per atom: -6.136

Cell: 3.8755 5.4856 11.8753 Å, 96.40 90.00 110.69°
Sites, in units of the cell vectors:
Pm 0.5826 0.1653 0.1601
Pm 0.1237 0.2475 0.6072
Pm 0.8763 0.7525 0.3928
Pm 0.4174 0.8347 0.8399
Se 0.3036 0.6071 0.2109
Se 0.6964 0.3929 0.7891
S 0.3995 0.7990 0.5920
S 0.0000 0.0000 0.0000
S 0.6005 0.2010 0.4080

***

Crystalline LiCu at its relaxed geometry, computed with PBE.

Properties
DOS at the Fermi energy, states/eV per cell: 1.60
Symmetry: Cm (8)
Spin magnetization, μB per formula unit: 0.00
E, eV per atom: -3.039
Calculated formation energy, meV per atom: -34

Cell: 5.1546 5.1546 6.2842 Å, 76.27 76.27 28.95°
Sites, in units of the cell vectors:
Cu 0.0120 0.0120 0.9943
Cu 0.6680 0.6680 0.6635
Cu 0.6004 0.6004 0.2811
Li 0.3259 0.3259 0.3282
Li 0.9532 0.9532 0.6164
Li 0.2739 0.2739 0.9499

***

Crystalline ZrInCu at its relaxed geometry, computed with PBE.

Properties
DOS at the Fermi energy, states/eV per cell: 3.96
Symmetry: Cm (8)
Spin magnetization, μB per formula unit: 0.00
E, eV per atom: -5.266
Calculated formation energy, meV per atom: -139

Cell: 4.3371 5.8239 5.7210 Å, 79.80 112.30 68.15°
Sites, in units of the cell vectors:
Zr 0.7962 0.8274 0.0616
Zr 0.9490 0.0313 0.5714
Cu 0.2592 0.3507 0.5114
Cu 0.1795 0.1373 0.1390
In 0.4520 0.4438 0.9900
In 0.6246 0.6448 0.5362